No. 1
## BaMg2Ag (SCAN)

Data for a crystal of BaMg2Ag relaxed with PBEsol.

The value obtained for the formation energy is -133 meV per atom. Its density is 4.06 g/cm³.

The space group is C2/m (No. 12) and the conventional cell measures 8.300, 4.790 and 6.642 Å, with angles of 90.00, 114.46 and 90.00 degrees. The inequivalent atoms are Ba at (0.000, 0.000, 0.000), Mg at (0.199, 0.000, 0.598) and Ag at (0.000, 0.500, 0.500).

=====

No. 2
## Ba2MgAg (SCAN)

Data for a crystal of Ba2MgAg relaxed with PBEsol.

The value obtained for the formation energy is -155 meV per atom. Its density is 4.05 g/cm³.

The space group is R3m (No. 160, hexagonal axes) and the conventional cell measures 4.8255, 4.8255 and 24.8390 Å, with angles of 90.00, 90.00 and 120.00 degrees. The inequivalent atoms are Ba at (0.0000, 0.0000, 0.0000), Ba at (0.0000, 0.0000, 0.1799), Mg at (0.0000, 0.0000, 0.7567) and Ag at (0.0000, 0.0000, 0.4233).

=====

No. 3
## BaMg2Ag2 (SCAN)

Data for a crystal of BaMg2Ag2 relaxed with PBEsol.

The value obtained for the formation energy is -192 meV per atom. Its density is 5.03 g/cm³.

The space group is I4/mmm (No. 139) and the conventional cell measures 5.025, 5.025 and 10.501 Å, with angles of 90.00, 90.00 and 90.00 degrees. The inequivalent atoms are Ba at (0.000, 0.000, 0.000), Mg at (0.000, 0.000, 0.355) and Ag at (0.000, 0.500, 0.250).

=====

No. 4
## Ba2MgAg (SCAN)

Data for a crystal of Ba2MgAg relaxed with PBEsol.

The value obtained for the formation energy is -86 meV per atom. Its density is 4.73 g/cm³.

The space group is P4mm (No. 99) and the conventional cell measures 3.883, 3.883 and 9.461 Å, with angles of 90.00, 90.00 and 90.00 degrees. The inequivalent atoms are Ba at (0.000, 0.000, 0.000), Ba at (0.500, 0.500, 0.388), Mg at (0.000, 0.000, 0.645) and Ag at (0.500, 0.500, 0.764).

=====

No. 5
## Ba2MgAg (SCAN)

Data for a crystal of Ba2MgAg relaxed with PBEsol.

The value obtained for the formation energy is -130 meV per atom. Its density is 4.72 g/cm³.

The space group is P4/mmm (No. 123) and the conventional cell measures 4.064, 4.064 and 8.659 Å, with angles of 90.00, 90.00 and 90.00 degrees. The inequivalent atoms are Ba at (0.000, 0.000, 0.226), Mg at (0.500, 0.500, 0.500) and Ag at (0.500, 0.500, 0.000).

=====

No. 6
## BaMgZrAg2 (SCAN)

Data for a crystal of BaMgZrAg2 relaxed with PBEsol.

The value obtained for the formation energy is 887 meV per atom. Its density is 5.69 g/cm³.

The space group is P4/mmm (No. 123) and the conventional cell measures 4.932, 4.932 and 5.619 Å, with angles of 90.00, 90.00 and 90.00 degrees. The inequivalent atoms are Ba at (0.000, 0.000, 0.000), Mg at (0.000, 0.000, 0.500), Zr at (0.500, 0.500, 0.000) and Ag at (0.000, 0.500, 0.500).

=====

No. 7
## BaMnAg2 (SCAN)

Data for a crystal of BaMnAg2 relaxed with PBEsol.

The value obtained for the formation energy is 248 meV per atom. Its density is 7.28 g/cm³.

The space group is F-43m (No. 216) and the conventional cell measures 7.194, 7.194 and 7.194 Å, with angles of 90.00, 90.00 and 90.00 degrees. The inequivalent atoms are Ba at (0.000, 0.000, 0.000), Mn at (0.250, 0.250, 0.750), Ag at (0.000, 0.000, 0.500) and Ag at (0.250, 0.250, 0.250).

=====

No. 8
## BaMn2Ag (SCAN)

Data for a crystal of BaMn2Ag relaxed with PBEsol.

The value obtained for the formation energy is 248 meV per atom. Its density is 6.66 g/cm³.

The space group is P4/mmm (No. 123) and the conventional cell measures 3.417, 3.417 and 7.585 Å, with angles of 90.00, 90.00 and 90.00 degrees. The inequivalent atoms are Ba at (0.000, 0.000, 0.000), Mn at (0.500, 0.500, 0.325) and Ag at (0.000, 0.000, 0.500).